## Sn3MoO (GGA+U)

Data for a relaxed Sn3MoO crystal.

Properties
DFT total energy	-4.71	eV per atom
distance to the lowest polymorph of the same formula	0.0	meV per atom
space-group type	No. 221

Lattice parameters (Å, degrees): 4.795 4.795 4.795 90.00 90.00 90.00
Positions (direct):
Sn 0.000 0.000 0.500
Sn 0.000 0.500 0.000
Sn 0.500 0.000 0.000
Mo 0.500 0.500 0.500
O 0.000 0.000 0.000